Record 1
# AgTe2Ru, relaxed, DFT PBE
data_AgTe2Ru
_chemical_formula_sum 'Ag1 Te2 Ru1'
_space_group_name_H-M_alt 'P 4 m m'
_space_group_IT_number 99
_cell_length_a 3.579
_cell_length_b 3.579
_cell_length_c 7.260
_cell_angle_alpha 90.00
_cell_angle_beta 90.00
_cell_angle_gamma 90.00
loop_
_space_group_symop_operation_xyz
'x,y,z'
'-y,x,z'
'-x,-y,z'
'y,-x,z'
'-x,y,z'
'y,x,z'
'x,-y,z'
'-y,-x,z'
loop_
_atom_site_label
_atom_site_type_symbol
_atom_site_fract_x
_atom_site_fract_y
_atom_site_fract_z
Ag1 Ag 0.000 0.000 0.000
Te1 Te 0.000 0.000 0.383
Te2 Te 0.500 0.500 0.828
Ru1 Ru 0.500 0.500 0.217
# Magnetic moment, μB per formula unit: 0.37
# Raw total energy, eV/atom: -4.4010
# D(E_F), states/eV per cell: 3.32
# V, A^3/atom: 23.243


Record 2
# Na3Li2OsO6, relaxed, DFT PBE
data_Na3Li2OsO6
_chemical_formula_sum 'Na6 Li4 Os2 O12'
_space_group_name_H-M_alt 'C 1 2/m 1'
_space_group_IT_number 12
_cell_length_a 5.335
_cell_length_b 9.238
_cell_length_c 5.585
_cell_angle_alpha 90.00
_cell_angle_beta 108.64
_cell_angle_gamma 90.00
loop_
_space_group_symop_operation_xyz
'x,y,z'
'-x,-y,-z'
'-x,y,-z'
'x,-y,z'
'x+1/2,y+1/2,z'
'-x+1/2,-y+1/2,-z'
'-x+1/2,y+1/2,-z'
'x+1/2,-y+1/2,z'
loop_
_atom_site_label
_atom_site_type_symbol
_atom_site_fract_x
_atom_site_fract_y
_atom_site_fract_z
Na1 Na 0.000 0.000 0.000
Na2 Na 0.000 0.322 0.000
Li1 Li 0.000 0.168 0.500
Os1 Os 0.000 0.500 0.500
O1 O 0.218 0.351 0.706
O2 O 0.226 0.500 0.295
# Magnetic moment, μB per formula unit: 1.04
# Raw total energy, eV/atom: -5.6005
# D(E_F), states/eV per cell: 9.48
# V, A^3/atom: 10.866


Record 3
# SrY2Si6, relaxed, DFT PBE
data_SrY2Si6
_chemical_formula_sum 'Sr2 Y4 Si12'
_space_group_name_H-M_alt 'C 1 2/m 1'
_space_group_IT_number 12
_cell_length_a 12.232
_cell_length_b 8.775
_cell_length_c 3.969
_cell_angle_alpha 90.00
_cell_angle_beta 108.38
_cell_angle_gamma 90.00
loop_
_space_group_symop_operation_xyz
'x,y,z'
'-x,-y,-z'
'-x,y,-z'
'x,-y,z'
'x+1/2,y+1/2,z'
'-x+1/2,-y+1/2,-z'
'-x+1/2,y+1/2,-z'
'x+1/2,-y+1/2,z'
loop_
_atom_site_label
_atom_site_type_symbol
_atom_site_fract_x
_atom_site_fract_y
_atom_site_fract_z
Sr1 Sr 0.000 0.000 0.000
Y1 Y 0.151 0.500 0.150
Si1 Si 0.000 0.348 0.500
Si2 Si 0.185 0.240 0.687
# Magnetic moment, μB per formula unit: 0.00
# Raw total energy, eV/atom: -5.6065
# D(E_F), states/eV per cell: 7.40
# V, A^3/atom: 22.458